10
Lattice="-4.4757 3.8018 3.3677 -2.9259 -5.5991 2.4323 1.9726 -0.6902 10.2047" Properties=species:S:1:pos:R:3 comment="GGA-PBE RbCaBr3, relaxed" raw_formation_energy_ev_per_atom=-1.6287 crystal_system=tetragonal e_tot_ev_per_cell=-32.3 pbc="T T T"
Ca 0.0000 0.0000 0.0000
Ca -2.3271 -3.5940 7.7685
Br -4.9824 -2.7377 6.5453
Br -0.0444 -2.1895 9.2167
Br -1.4516 -4.8824 10.3865
Br -2.8298 -4.5662 4.9257
Br -1.3509 -0.8123 5.9256
Br -4.0781 -1.6751 10.0792
Rb -1.8839 1.1513 9.8044
Rb -4.3199 1.0618 6.6680

***

20
Lattice="9.8732 0.1455 0.0000 -4.7990 9.4257 0.0000 0.0000 0.0000 9.0356" Properties=species:S:1:pos:R:3 comment="GGA-PBE RbCaBr3, relaxed" raw_formation_energy_ev_per_atom=-1.8938 crystal_system=monoclinic e_tot_ev_per_cell=-69.8 pbc="T T T"
Rb 0.1761 8.3917 1.9790
Rb 4.8980 1.1795 7.0566
Rb -0.0386 1.1068 6.4968
Rb 5.1127 8.4645 2.5388
Ca 2.5200 6.5855 5.6529
Ca 2.5541 2.9857 3.3827
Ca 7.4907 3.0584 1.1351
Ca -2.4166 6.5128 7.9005
Br 7.7027 0.3770 0.2034
Br -2.6286 9.1942 8.8322
Br 2.3080 9.2670 4.7212
Br 2.7661 0.3043 4.3144
Br 0.3638 6.9510 7.4996
Br 4.7103 2.6202 1.5360
Br -0.2263 2.5474 2.9818
Br 5.3004 7.0238 6.0538
Br -2.4572 5.7594 1.6332
Br 7.5313 3.8118 7.4024
Br 2.5948 3.7391 6.1510
Br 2.4793 5.8322 2.8846

***

5
Lattice="4.2892 0.0000 0.0000 0.0000 4.6928 -7.6830 0.0000 4.6928 7.6830" Properties=species:S:1:pos:R:3 comment="GGA-PBE RbCaBr3, relaxed" raw_formation_energy_ev_per_atom=-1.8188 crystal_system=orthorhombic e_tot_ev_per_cell=-17.1 pbc="T T T"
Ca 0.0000 4.6928 1.3126
Br 2.1446 2.8127 0.7163
Br 2.1446 6.5728 0.7163
Br 0.0000 4.6928 4.0854
Rb 2.1446 4.6928 6.5679

***

9
Lattice="-4.7466 1.5807 -3.1700 -1.8100 -6.6201 4.9417 -0.0775 7.6390 3.9252" Properties=species:S:1:pos:R:3 comment="GGA-PBE Rb2Ca2Br5, relaxed" raw_formation_energy_ev_per_atom=-1.6647 crystal_system=monoclinic e_tot_ev_per_cell=-29.3 pbc="T T T"
Rb -3.3092 0.6776 5.2929
Rb -3.3248 1.9220 0.4040
Ca -1.3111 4.9870 4.4498
Ca -5.3230 -2.3873 1.2471
Br -2.9817 -3.3304 2.8040
Br -3.6523 5.9300 2.8929
Br -1.2789 2.4897 3.1564
Br -5.3551 0.1099 2.5405
Br 0.0000 0.0000 0.0000